Record 1
The following is a PBE calculation of crystalline ZrTeSe2 at its relaxed geometry, from the Alexandria database.

Structure (extended XYZ):
```
4
Lattice="9.746 0.019 0.011 9.071 3.563 0.011 9.071 1.727 3.117" Properties=species:S:1:pos:R:3 pbc="T T T"
Se 13.276 2.527 1.494
Se 0.668 0.127 0.075
Zr 20.916 3.982 2.354
Te 6.972 1.327 0.785
```

**Magnetic moment**: 0.00 μB per cell
**Calculated density**: 5.83 g/cm3
**Formation energy (no corrections)**: -0.75 eV/atom
**E**: -5.413 eV/atom

=====

Record 2
The following is a PBE calculation of crystalline ZrTeSe2 at its relaxed geometry, from the Alexandria database.

Structure (extended XYZ):
```
8
Lattice="-7.323 -4.061 -4.051 0.823 -7.245 5.776 -4.992 -4.368 2.723" Properties=species:S:1:pos:R:3 pbc="T T T"
Zr -3.250 -5.653 0.863
Zr -3.709 -8.633 4.681
Te 0.000 0.000 0.000
Te -7.783 -7.041 -0.232
Se -4.717 -3.978 -0.573
Se -9.544 -12.175 2.759
Se -6.068 -8.511 3.482
Se -2.654 -6.686 3.228
```

**Magnetic moment**: 0.00 μB per cell
**Calculated density**: 5.07 g/cm3
**Formation energy (no corrections)**: -0.51 eV/atom
**E**: -5.170 eV/atom

=====

Record 3
The following is a PBE calculation of crystalline ZrTe4Se at its relaxed geometry, from the Alexandria database.

Structure (extended XYZ):
```
6
Lattice="0.000 4.357 4.357 4.357 0.000 4.357 4.357 4.357 0.000" Properties=species:S:1:pos:R:3 pbc="T T T"
Zr 6.536 6.536 6.536
Te 5.442 3.272 5.442
Te 3.272 5.442 5.442
Te 3.272 3.272 3.272
Te 5.442 5.442 3.272
Se 0.000 0.000 0.000
```

**Magnetic moment**: 0.00 μB per cell
**Calculated density**: 6.83 g/cm3
**Formation energy (no corrections)**: 0.46 eV/atom
**E**: -3.636 eV/atom

=====

Record 4
The following is a PBE calculation of crystalline ZrTeSe2 at its relaxed geometry, from the Alexandria database.

Structure (extended XYZ):
```
4
Lattice="9.045 -0.014 -0.008 8.304 3.585 -0.008 8.304 1.709 3.151" Properties=species:S:1:pos:R:3 pbc="T T T"
Zr 19.149 3.942 2.340
Te 12.674 2.609 1.549
Se 6.163 1.269 0.753
Se 0.495 0.102 0.060
```

**Magnetic moment**: 0.00 μB per cell
**Calculated density**: 6.09 g/cm3
**Formation energy (no corrections)**: -0.47 eV/atom
**E**: -5.133 eV/atom

=====

Record 5
The following is a PBE calculation of crystalline Th3Se at its relaxed geometry, from the Alexandria database.

Structure (extended XYZ):
```
8
Lattice="0.485 6.331 -2.412 -5.414 -1.831 3.670 2.677 1.604 4.748" Properties=species:S:1:pos:R:3 pbc="T T T"
Se -1.440 2.093 5.204
Se -0.812 4.011 0.803
Th -3.751 -0.054 3.832
Th 1.258 3.029 3.367
Th -1.075 0.851 2.018
Th 1.498 6.158 2.175
Th -1.178 5.253 3.989
Th -3.511 3.075 2.640
```

**Magnetic moment**: 0.00 μB per cell
**Calculated density**: 11.34 g/cm3
**Formation energy (no corrections)**: -0.26 eV/atom
**E**: -6.695 eV/atom

=====

Record 6
The following is a PBE calculation of crystalline Th6Se5 at its relaxed geometry, from the Alexandria database.

Structure (extended XYZ):
```
11
Lattice="-4.275 3.450 -4.781 0.184 -1.771 -6.989 -6.260 -3.420 -0.561" Properties=species:S:1:pos:R:3 pbc="T T T"
Th -4.012 0.737 -5.241
Th -2.600 -0.067 -1.262
Th -7.935 0.096 -4.080
Th -5.061 -2.909 -2.998
Th -5.291 1.168 -9.333
Th -6.339 -2.478 -7.091
Se -6.569 0.480 -6.718
Se -5.268 0.015 -2.671
Se -1.382 0.588 -3.887
Se -2.709 1.091 -7.884
Se -3.783 -2.222 -5.613
```

**Magnetic moment**: 0.00 μB per cell
**Calculated density**: 9.72 g/cm3
**Formation energy (no corrections)**: -1.32 eV/atom
**E**: -6.955 eV/atom